Entry one
# NdThIn

An optimized crystal structure of NdThIn (GGA-PBE, the Alexandria database).

Cell lengths 5.5143, 5.5143, 3.2908 Å; angles 90.00, 90.00, 120.00 degrees
Space group P3m1 (No. 156)
Asymmetric unit:
1 Nd 0.0000 0.0000 0.0000 (multiplicity 1)
2 Th 0.3333 0.6667 0.9769 (multiplicity 1)
3 In 0.6667 0.3333 0.4848 (multiplicity 1)

Calculated values
Calculated density ... 9.410 g/cm³

=====

Entry two
# NdThIn

An optimized crystal structure of NdThIn (GGA-PBE, the Alexandria database).

Cell lengths 3.649, 23.139, 4.459 Å; angles 90.00, 90.00, 90.00 degrees
Space group Cmcm (No. 63)
Asymmetric unit:
1 Nd 0.000 0.060 0.250 (multiplicity 4)
2 Th 0.000 0.205 0.250 (multiplicity 4)
3 In 0.000 0.369 0.250 (multiplicity 4)

Calculated values
Calculated density ... 8.663 g/cm³

=====

Most stable one: entry two, least stable one: entry one.

=====

Entry one
# Nd2ThIn6

An optimized crystal structure of Nd2ThIn6 (GGA-PBE, the Alexandria database).

Cell lengths 4.595, 7.686, 15.040 Å; angles 90.00, 90.00, 90.00 degrees
Space group Immm (No. 71)
Asymmetric unit:
1 Nd 0.000 0.000 0.123 (multiplicity 4)
2 Th 0.000 0.500 0.000 (multiplicity 2)
3 In 0.000 0.192 0.315 (multiplicity 8)
4 In 0.000 0.306 0.500 (multiplicity 4)

Calculated values
Calculated density ... 7.563 g/cm³

=====

Entry two
# Nd2ThIn6

An optimized crystal structure of Nd2ThIn6 (GGA-PBE, the Alexandria database).

Cell lengths 8.7960, 8.7960, 3.6368 Å; angles 90.00, 90.00, 120.00 degrees
Space group P6/mmm (No. 191)
Asymmetric unit:
1 Nd 0.3333 0.6667 0.0000 (multiplicity 2)
2 Th 0.0000 0.0000 0.0000 (multiplicity 1)
3 In 0.0000 0.3343 0.5000 (multiplicity 6)

Calculated values
Calculated density ... 8.241 g/cm³

=====

Most stable one: entry two, least stable one: entry one.

=====

Entry one
# NdThTlIn

An optimized crystal structure of NdThTlIn (GGA-PBE, the Alexandria database).

Cell lengths 7.793, 7.793, 7.793 Å; angles 90.00, 90.00, 90.00 degrees
Space group F-43m (No. 216)
Asymmetric unit:
1 Nd 0.000 0.000 0.000 (multiplicity 4)
2 Th 0.000 0.000 0.500 (multiplicity 4)
3 Tl 0.250 0.250 0.250 (multiplicity 4)
4 In 0.250 0.250 0.750 (multiplicity 4)

Calculated values
Calculated density ... 9.762 g/cm³

=====

Entry two
# NdThTlIn

An optimized crystal structure of NdThTlIn (GGA-PBE, the Alexandria database).

Cell lengths 3.577, 3.577, 9.076 Å; angles 90.00, 90.00, 90.00 degrees
Space group P4mm (No. 99)
Asymmetric unit:
1 Nd 0.000 0.000 0.000 (multiplicity 1)
2 Th 0.000 0.000 0.496 (multiplicity 1)
3 Tl 0.500 0.500 0.750 (multiplicity 1)
4 In 0.500 0.500 0.247 (multiplicity 1)

Calculated values
Calculated density ... 9.946 g/cm³

=====

Most stable one: entry two, least stable one: entry one.

=====

Entry one
# Nd8Tl2In

An optimized crystal structure of Nd8Tl2In (GGA-PBE, the Alexandria database).

Cell lengths 17.590, 5.084, 8.380 Å; angles 90.00, 111.51, 90.00 degrees
Space group C2/m (No. 12)
Asymmetric unit:
1 Nd 0.056 0.000 0.230 (multiplicity 4)
2 Nd 0.096 0.500 0.950 (multiplicity 4)
3 Nd 0.140 0.000 0.702 (multiplicity 4)
4 Nd 0.179 0.500 0.440 (multiplicity 4)
5 Tl 0.224 0.000 0.146 (multiplicity 4)
6 In 0.000 0.500 0.500 (multiplicity 2)

Calculated values
Calculated density ... 7.992 g/cm³

=====

Entry two
# Nd8Tl2In

An optimized crystal structure of Nd8Tl2In (GGA-PBE, the Alexandria database).

Cell lengths 9.060, 15.321, 5.759 Å; angles 90.00, 114.99, 90.00 degrees
Space group C2/m (No. 12)
Asymmetric unit:
1 Nd 0.000 0.220 0.000 (multiplicity 4)
2 Nd 0.100 0.500 0.802 (multiplicity 4)
3 Nd 0.202 0.111 0.591 (multiplicity 8)
4 Tl 0.000 0.306 0.500 (multiplicity 4)
5 In 0.000 0.000 0.000 (multiplicity 2)

Calculated values
Calculated density ... 7.690 g/cm³

=====

Most stable one: entry one, least stable one: entry two.

=====

Entry one
# Nd4TlIn2

An optimized crystal structure of Nd4TlIn2 (GGA-PBE, the Alexandria database).

Cell lengths 7.725, 7.725, 7.636 Å; angles 90.00, 90.00, 90.00 degrees
Space group I4/mmm (No. 139)
Asymmetric unit:
1 Nd 0.250 0.250 0.250 (multiplicity 8)
2 Tl 0.000 0.000 0.000 (multiplicity 2)
3 In 0.000 0.500 0.000 (multiplicity 4)

Calculated values
Calculated density ... 7.368 g/cm³

=====

Entry two
# Nd4TlIn2

An optimized crystal structure of Nd4TlIn2 (GGA-PBE, the Alexandria database).

Cell lengths 7.567, 6.743, 9.314 Å; angles 90.00, 109.32, 90.00 degrees
Space group P2_1/m (No. 11)
Asymmetric unit:
1 Nd 0.083 0.250 0.049 (multiplicity 2)
2 Nd 0.168 0.007 0.722 (multiplicity 4)
3 Nd 0.324 0.750 0.342 (multiplicity 2)
4 Tl 0.497 0.250 0.291 (multiplicity 2)
5 In 0.215 0.250 0.437 (multiplicity 2)
6 In 0.443 0.750 0.034 (multiplicity 2)

Calculated values
Calculated density ... 7.487 g/cm³

=====

Most stable one: entry one, least stable one: entry two.

=====

Entry one
# Nd6Tl2In

An optimized crystal structure of Nd6Tl2In (GGA-PBE, the Alexandria database).

Cell lengths 5.338, 7.573, 16.020 Å; angles 90.00, 90.00, 90.00 degrees
Space group Immm (No. 71)
Asymmetric unit:
1 Nd 0.000 0.249 0.000 (multiplicity 4)
2 Nd 0.000 0.251 0.334 (multiplicity 8)
3 Tl 0.000 0.500 0.166 (multiplicity 4)
4 In 0.000 0.500 0.500 (multiplicity 2)

Calculated values
Calculated density ... 7.123 g/cm³

=====

Entry two
# Nd6Tl2In

An optimized crystal structure of Nd6Tl2In (GGA-PBE, the Alexandria database).

Cell lengths 9.2306, 9.2306, 3.8585 Å; angles 90.00, 90.00, 120.00 degrees
Space group P-62m (No. 189)
Asymmetric unit:
1 Nd 0.0000 0.2861 0.0000 (multiplicity 3)
2 Nd 0.0000 0.6153 0.5000 (multiplicity 3)
3 Tl 0.3333 0.6667 0.0000 (multiplicity 2)
4 In 0.0000 0.0000 0.5000 (multiplicity 1)

Calculated values
Calculated density ... 8.101 g/cm³

=====

Most stable one: entry two, least stable one: entry one.

=====

Entry one
# Nd6TlIn2

An optimized crystal structure of Nd6TlIn2 (GGA-PBE, the Alexandria database).

Cell lengths 5.945, 9.419, 11.349 Å; angles 90.00, 115.64, 90.00 degrees
Space group P2_1/c (No. 14)
Asymmetric unit:
1 Nd 0.020 0.163 0.078 (multiplicity 4)
2 Nd 0.375 0.515 0.309 (multiplicity 4)
3 Nd 0.406 0.171 0.436 (multiplicity 4)
4 Tl 0.000 0.000 0.500 (multiplicity 2)
5 In 0.184 0.646 0.746 (multiplicity 4)

Calculated values
Calculated density ... 7.533 g/cm³

=====

Entry two
# Nd6TlIn2

An optimized crystal structure of Nd6TlIn2 (GGA-PBE, the Alexandria database).

Cell lengths 8.5950, 8.5950, 4.5367 Å; angles 90.00, 90.00, 120.00 degrees
Space group P-62m (No. 189)
Asymmetric unit:
1 Nd 0.0000 0.4008 0.0000 (multiplicity 3)
2 Nd 0.0000 0.7279 0.5000 (multiplicity 3)
3 Tl 0.0000 0.0000 0.0000 (multiplicity 1)
4 In 0.3333 0.6667 0.5000 (multiplicity 2)

Calculated values
Calculated density ... 7.434 g/cm³

=====

Most stable one: entry two, least stable one: entry one.

=====

Entry one
# Nd5Tl2In2

An optimized crystal structure of Nd5Tl2In2 (GGA-PBE, the Alexandria database).

Cell lengths 16.635, 8.506, 8.132 Å; angles 90.00, 90.00, 90.00 degrees
Space group Cmce (No. 64)
Asymmetric unit:
1 Nd 0.000 0.000 0.000 (multiplicity 4)
2 Nd 0.139 0.187 0.328 (multiplicity 16)
3 Tl 0.212 0.000 0.000 (multiplicity 8)
4 In 0.000 0.124 0.621 (multiplicity 8)

Calculated values
Calculated density ... 7.848 g/cm³

=====

Entry two
# Nd5Tl2In2

An optimized crystal structure of Nd5Tl2In2 (GGA-PBE, the Alexandria database).

Cell lengths 18.188, 9.506, 6.555 Å; angles 90.00, 90.00, 90.00 degrees
Space group Ima2 (No. 46)
Asymmetric unit:
1 Nd 0.082 0.218 0.000 (multiplicity 8)
2 Nd 0.155 0.637 0.266 (multiplicity 8)
3 Nd 0.250 0.501 0.771 (multiplicity 4)
4 Tl 0.000 0.000 0.689 (multiplicity 4)
5 Tl 0.250 0.159 0.758 (multiplicity 4)
6 In 0.072 0.572 0.770 (multiplicity 8)

Calculated values
Calculated density ... 7.968 g/cm³

=====

Most stable one: entry one, least stable one: entry two.

=====

Entry one
# Nd4Tm2In

An optimized crystal structure of Nd4Tm2In (GGA-PBE, the Alexandria database).

Cell lengths 11.811, 23.687, 6.332 Å; angles 90.00, 90.00, 90.00 degrees
Space group Fdd2 (No. 43)
Asymmetric unit:
1 Nd 0.015 0.211 0.000 (multiplicity 16)
2 Nd 0.080 0.146 0.493 (multiplicity 16)
3 Tm 0.049 0.066 0.930 (multiplicity 16)
4 In 0.000 0.000 0.447 (multiplicity 8)

Calculated values
Calculated density ... 7.721 g/cm³

=====

Entry two
# Nd4Tm2In

An optimized crystal structure of Nd4Tm2In (GGA-PBE, the Alexandria database).

Cell lengths 6.093, 7.982, 9.462 Å; angles 88.58, 87.33, 73.97 degrees
Space group P-1 (No. 2)
Asymmetric unit:
1 Nd 0.080 0.275 0.064 (multiplicity 2)
2 Nd 0.082 0.777 0.570 (multiplicity 2)
3 Nd 0.202 0.854 0.208 (multiplicity 2)
4 Nd 0.232 0.368 0.703 (multiplicity 2)
5 Tm 0.368 0.923 0.848 (multiplicity 2)
6 Tm 0.500 0.000 0.500 (multiplicity 1)
7 Tm 0.500 0.500 0.000 (multiplicity 1)
8 In 0.348 0.416 0.346 (multiplicity 2)

Calculated values
Calculated density ... 7.741 g/cm³

=====

Most stable one: entry two, least stable one: entry one.

=====

Entry one
# Nd4TmIn3

An optimized crystal structure of Nd4TmIn3 (GGA-PBE, the Alexandria database).

Cell lengths 5.4980, 5.4980, 27.4810 Å; angles 90.00, 90.00, 120.00 degrees
Space group R-3m (No. 166, hexagonal axes)
Asymmetric unit:
1 Nd 0.0000 0.0000 0.1188 (multiplicity 6)
2 Nd 0.0000 0.0000 0.3698 (multiplicity 6)
3 Tm 0.0000 0.0000 0.5000 (multiplicity 3)
4 In 0.0000 0.0000 0.0000 (multiplicity 3)
5 In 0.0000 0.0000 0.2416 (multiplicity 6)

Calculated values
Calculated density ... 7.550 g/cm³

=====

Entry two
# Nd4TmIn3

An optimized crystal structure of Nd4TmIn3 (GGA-PBE, the Alexandria database).

Cell lengths 4.957, 4.961, 19.145 Å; angles 90.00, 90.00, 90.00 degrees
Space group Immm (No. 71)
Asymmetric unit:
1 Nd 0.000 0.000 0.130 (multiplicity 4)
2 Nd 0.000 0.000 0.369 (multiplicity 4)
3 Tm 0.000 0.500 0.500 (multiplicity 2)
4 In 0.000 0.500 0.000 (multiplicity 2)
5 In 0.000 0.500 0.249 (multiplicity 4)

Calculated values
Calculated density ... 7.691 g/cm³

=====

Most stable one: entry two, least stable one: entry one.

=====

Entry one
# Nd2Tm4In

An optimized crystal structure of Nd2Tm4In (GGA-PBE, the Alexandria database).

Cell lengths 3.5915, 3.5915, 58.4197 Å; angles 90.00, 90.00, 120.00 degrees
Space group R-3m (No. 166, hexagonal axes)
Asymmetric unit:
1 Nd 0.0000 0.0000 0.1939 (multiplicity 6)
2 Tm 0.0000 0.0000 0.0905 (multiplicity 6)
3 Tm 0.0000 0.0000 0.2908 (multiplicity 6)
4 In 0.0000 0.0000 0.0000 (multiplicity 3)

Calculated values
Calculated density ... 8.237 g/cm³

=====

Entry two
# Nd2Tm4In

An optimized crystal structure of Nd2Tm4In (GGA-PBE, the Alexandria database).

Cell lengths 6.467, 11.697, 6.467 Å; angles 90.00, 116.62, 90.00 degrees
Space group P2_1/c (No. 14)
Asymmetric unit:
1 Nd 0.215 0.043 0.396 (multiplicity 4)
2 Tm 0.111 0.181 0.853 (multiplicity 4)
3 Tm 0.396 0.741 0.176 (multiplicity 4)
4 In 0.500 0.000 0.000 (multiplicity 2)

Calculated values
Calculated density ... 8.194 g/cm³

=====

Most stable one: entry one, least stable one: entry two.